1.
DFT (PBE) results for Ca2Pm4Dy after structural relaxation.

Computed properties:
DFT formation energy = 0.5934 eV per atom

a b c (Å): 5.7354 5.7354 9.8397
angles (deg): 106.94 106.94 90.00
Site moments in Bohr magnetons follow the coordinates.
Fractional coordinates of all 7 atoms:
Ca 0.6272 0.6272 0.2543  0.01
Ca 0.3728 0.3728 0.7457  0.01
Pm 0.8280 0.8280 0.6561  0.04
Pm 0.1720 0.1720 0.3439  0.04
Pm 0.0000 0.5000 0.0000  0.09
Pm 0.5000 0.0000 0.0000  0.09
Dy 0.0000 0.0000 0.0000  0.22



2.
DFT (PBE) results for TeAu2S after structural relaxation.

Computed properties:
Formation energy without anion corrections = 0.35 eV/atom

a b c (Å): 3.8474 3.8474 8.4713
angles (deg): 76.87 76.87 60.00
Site moments in Bohr magnetons follow the coordinates.
Fractional coordinates of all 4 atoms:
S 0.0000 0.0000 0.0000  0.23
Te 0.5000 0.5000 0.5000  -0.01
Au 0.0938 0.0938 0.7187  0.02
Au 0.9062 0.9062 0.2813  0.02



3.
DFT (PBE) results for Li2CaRe after structural relaxation.

Computed properties:
DFT formation energy = 0.6928 eV per atom

a b c (Å): 10.7064 10.7064 10.7064
angles (deg): 15.48 15.48 15.48
Site moments in Bohr magnetons follow the coordinates.
Fractional coordinates of all 4 atoms:
Ca 0.7500 0.7500 0.7500  0.22
Li 0.9876 0.9876 0.9876  0.00
Li 0.5124 0.5124 0.5124  0.00
Re 0.2500 0.2500 0.2500  -0.25



4.
DFT (PBE) results for IrS2NF after structural relaxation.

Computed properties:
Formation energy without anion corrections = 1.88 eV/atom

a b c (Å): 4.3895 4.3895 3.5751
angles (deg): 90.00 90.00 90.00
Site moments in Bohr magnetons follow the coordinates.
Fractional coordinates of all 5 atoms:
N 0.0000 0.0000 0.5000  1.13
S 0.0000 0.5000 0.0000  0.07
S 0.5000 0.0000 0.0000  0.07
Ir 0.5000 0.5000 0.5000  0.22
F 0.0000 0.0000 0.0000  -0.02



5.
DFT (PBE) results for La3ZnN after structural relaxation.

Computed properties:
Formation energy without anion corrections = -0.62 eV/atom

a b c (Å): 25.2155 6.4508 9.9653
angles (deg): 90.00 161.76 90.00
Fractional coordinates of all 20 atoms:
Zn 0.9796 0.1482 0.3698
Zn 0.0204 0.8518 0.6302
Zn 0.5204 0.6482 0.1302
Zn 0.4796 0.3518 0.8698
N 0.5284 0.7504 0.6581
N 0.4716 0.2496 0.3419
N 0.9716 0.2504 0.8419
N 0.0284 0.7496 0.1581
La 0.2853 0.9203 0.9297
La 0.7147 0.0797 0.0703
La 0.2147 0.4203 0.5703
La 0.7853 0.5797 0.4297
La 0.3465 0.4074 0.2410
La 0.6535 0.5926 0.7590
La 0.1535 0.9074 0.2590
La 0.8465 0.0926 0.7410
La 0.4167 0.8795 0.5996
La 0.5833 0.1205 0.4004
La 0.0833 0.3795 0.9004
La 0.9167 0.6205 0.0996



Which distance to the lowest polymorph of the same formula belongs to each record? In order, 466.5; 254.3; 220.2; 1234.0; 78.9 meV/atom.